(1)
# NaTl2InBr4

NaTl2InBr4 after structural relaxation (PBE, Alexandria).

The structure belongs to space group P2/m (No. 10); the cell edges are 8.049, 4.621 and 8.062 Å and the angles 90.00°, 109.11° and 90.00°. The inequivalent atoms are Na at (0.000, 0.000, 0.000), Tl at (0.500, 0.000, 0.500), Tl at (0.500, 0.500, 0.000), In at (0.000, 0.500, 0.500), Br at (0.229, 0.500, 0.231) and Br at (0.235, 0.000, 0.761).

For the formation energy from raw total energies, the calculation gives -0.97 eV/atom. The calculation puts the density of states at the Fermi level at 0.0 states/eV/f.u. For the mass density, the calculation gives 5.1 g/cm³.

(2)
# NaTlIn2Br6

NaTlIn2Br6 after structural relaxation (PBE, Alexandria).

The structure belongs to space group P1 (No. 1); the cell edges are 7.910, 7.913 and 8.039 Å and the angles 60.56°, 60.59° and 60.08°. The inequivalent atoms are Na at (0.000, 0.000, 0.000), Tl at (0.504, 0.505, 0.487), In at (0.200, 0.200, 0.399), In at (0.704, 0.704, 0.886), Br at (0.083, 0.856, 0.663), Br at (0.285, 0.557, 0.176), Br at (0.397, 0.083, 0.663), Br at (0.556, 0.982, 0.176), Br at (0.857, 0.397, 0.663) and Br at (0.980, 0.285, 0.177).

For the formation energy from raw total energies, the calculation gives -0.92 eV/atom. For the mass density, the calculation gives 4.3 g/cm³.

(3)
# NaTlIn2Br4

NaTlIn2Br4 after structural relaxation (PBE, Alexandria).

The structure belongs to space group P2/m (No. 10); the cell edges are 8.043, 4.621 and 8.049 Å and the angles 90.00°, 109.22° and 90.00°. The inequivalent atoms are Na at (0.000, 0.000, 0.000), Tl at (0.500, 0.500, 0.000), In at (0.000, 0.500, 0.500), In at (0.500, 0.000, 0.500), Br at (0.230, 0.500, 0.232) and Br at (0.235, 0.000, 0.760).

For the formation energy from raw total energies, the calculation gives -0.91 eV/atom. The calculation puts the density of states at the Fermi level at 0.0 states/eV/f.u. For the mass density, the calculation gives 4.6 g/cm³.

(4)
# Na2TlInBr4

Na2TlInBr4 after structural relaxation (PBE, Alexandria).

The structure belongs to space group P2/m (No. 10); the cell edges are 7.716, 4.452 and 7.989 Å and the angles 90.00°, 108.80° and 90.00°. The inequivalent atoms are Na at (0.000, 0.000, 0.000), Na at (0.500, 0.500, 0.000), Tl at (0.000, 0.500, 0.500), In at (0.500, 0.000, 0.500), Br at (0.241, 0.500, 0.218) and Br at (0.262, 0.000, 0.782).

For the formation energy from raw total energies, the calculation gives -1.14 eV/atom. The calculation puts the density of states at the Fermi level at 0.0 states/eV/f.u. For the mass density, the calculation gives 4.4 g/cm³.

(5)
# Na2TmInBr6

Na2TmInBr6 after structural relaxation (PBE, Alexandria).

The structure belongs to space group R3 (No. 146, hexagonal axes); the cell edges are 7.5563, 7.5563 and 20.7593 Å and the angles 90.00°, 90.00° and 120.00°. The inequivalent atoms are Na at (0.0000, 0.0000, 0.0000), Na at (0.0000, 0.0000, 0.4846), Tm at (0.0000, 0.0000, 0.6774), In at (0.0000, 0.0000, 0.1940), Br at (0.0079, 0.3150, 0.7482) and Br at (0.0298, 0.6324, 0.2591).

For the formation energy from raw total energies, the calculation gives -1.50 eV/atom. The calculation puts the density of states at the Fermi level at 0.0 states/eV/f.u. For the mass density, the calculation gives 3.9 g/cm³.

(6)
# NaUIn2Br8

NaUIn2Br8 after structural relaxation (PBE, Alexandria).

The structure belongs to space group P-1 (No. 2); the cell edges are 7.136, 7.371 and 9.088 Å and the angles 89.93°, 89.95° and 87.08°. The inequivalent atoms are Na at (0.000, 0.000, 0.000), U at (0.000, 0.000, 0.500), In at (0.499, 0.500, 0.234), Br at (0.200, 0.681, 0.500), Br at (0.225, 0.128, 0.714), Br at (0.226, 0.128, 0.285) and Br at (0.264, 0.678, 0.000).

For the formation energy from raw total energies, the calculation gives -1.08 eV/atom. For the mass density, the calculation gives 3.9 g/cm³.

(7)
# NaUIn2Br6

NaUIn2Br6 after structural relaxation (PBE, Alexandria).

The structure belongs to space group P1 (No. 1); the cell edges are 8.020, 8.024 and 8.160 Å and the angles 60.56°, 60.60° and 60.03°. The inequivalent atoms are Na at (0.000, 0.000, 0.000), U at (0.505, 0.505, 0.485), In at (0.211, 0.210, 0.368), In at (0.715, 0.715, 0.854), Br at (0.167, 0.353, 0.711), Br at (0.288, 0.850, 0.213), Br at (0.353, 0.768, 0.712), Br at (0.649, 0.287, 0.213), Br at (0.769, 0.166, 0.711) and Br at (0.850, 0.649, 0.214).

For the formation energy from raw total energies, the calculation gives -1.08 eV/atom. For the mass density, the calculation gives 4.3 g/cm³.

(8)
# NaInWBr2

NaInWBr2 after structural relaxation (PBE, Alexandria).

The structure belongs to space group P4/mmm (No. 123); the cell edges are 5.966, 5.966 and 5.526 Å and the angles 90.00°, 90.00° and 90.00°. The inequivalent atoms are Na at (0.000, 0.000, 0.000), In at (0.500, 0.500, 0.500), W at (0.500, 0.500, 0.000) and Br at (0.000, 0.500, 0.500).

For the formation energy from raw total energies, the calculation gives 0.70 eV/atom. The calculation puts the density of states at the Fermi level at 1.1 states/eV/f.u. For the mass density, the calculation gives 4.1 g/cm³.